Record 1
VASP calculation (PBE) on a relaxed structure of Cs3Pr2NpS6.

Raw total energy (Ha/atom): -0.2128
Magnetization (μB per formula unit): 4.008
Density (g/cm3): 4.9

```
data_Cs3Pr2NpS6
_symmetry_space_group_name_H-M 'C 1 2/m 1'
_symmetry_Int_Tables_number 12
_cell_length_a 7.361
_cell_length_b 12.749
_cell_length_c 8.454
_cell_angle_alpha 90.00
_cell_angle_beta 106.85
_cell_angle_gamma 90.00
loop_
_symmetry_equiv_pos_as_xyz
'x,y,z'
'-x,-y,-z'
'-x,y,-z'
'x,-y,z'
'x+1/2,y+1/2,z'
'-x+1/2,-y+1/2,-z'
'-x+1/2,y+1/2,-z'
'x+1/2,-y+1/2,z'
loop_
_atom_site_label
_atom_site_type_symbol
_atom_site_fract_x
_atom_site_fract_y
_atom_site_fract_z
Cs1 Cs 0.000 0.000 0.000
Cs2 Cs 0.000 0.331 0.000
Pr1 Pr 0.000 0.166 0.500
Np1 Np 0.000 0.500 0.500
S1 S 0.225 0.337 0.685
S2 S 0.237 0.000 0.687
```

Record 2
VASP calculation (PBE) on a relaxed structure of CsPr2NpS5.

Raw total energy (Ha/atom): -0.2415
Magnetization (μB per formula unit): 3.989
Density (g/cm3): 5.1

```
data_CsPr2NpS5
_symmetry_space_group_name_H-M 'I m m m'
_symmetry_Int_Tables_number 71
_symmetry_space_group_name_Hall '-I 2 2'
_cell_length_a 5.070
_cell_length_b 7.365
_cell_length_c 14.099
_cell_angle_alpha 90.00
_cell_angle_beta 90.00
_cell_angle_gamma 90.00
loop_
_atom_site_label
_atom_site_type_symbol
_atom_site_fract_x
_atom_site_fract_y
_atom_site_fract_z
Cs1 Cs 0.000 0.000 0.000
Pr1 Pr 0.000 0.500 0.207
Np1 Np 0.000 0.000 0.500
S1 S 0.000 0.230 0.347
S2 S 0.000 0.500 0.000
```

Record 3
VASP calculation (PBE) on a relaxed structure of Cs3PrNp2S6.

Raw total energy (Ha/atom): -0.2323
Magnetization (μB per formula unit): 8.002
Density (g/cm3): 5.4

```
data_Cs3PrNp2S6
_symmetry_space_group_name_H-M 'C 1 2/m 1'
_symmetry_Int_Tables_number 12
_cell_length_a 7.260
_cell_length_b 12.574
_cell_length_c 8.435
_cell_angle_alpha 90.00
_cell_angle_beta 106.68
_cell_angle_gamma 90.00
loop_
_symmetry_equiv_pos_as_xyz
'x,y,z'
'-x,-y,-z'
'-x,y,-z'
'x,-y,z'
'x+1/2,y+1/2,z'
'-x+1/2,-y+1/2,-z'
'-x+1/2,y+1/2,-z'
'x+1/2,-y+1/2,z'
loop_
_atom_site_label
_atom_site_type_symbol
_atom_site_fract_x
_atom_site_fract_y
_atom_site_fract_z
Cs1 Cs 0.000 0.000 0.000
Cs2 Cs 0.000 0.336 0.000
Pr1 Pr 0.000 0.500 0.500
Np1 Np 0.000 0.167 0.500
S1 S 0.217 0.000 0.682
S2 S 0.233 0.328 0.683
```

Record 4
VASP calculation (PBE) on a relaxed structure of Cs3PrNp3S8.

Raw total energy (Ha/atom): -0.2487
Magnetization (μB per formula unit): 11.000
Density (g/cm3): 5.2

```
data_Cs3PrNp3S8
_symmetry_space_group_name_H-M 'R -3 m'
_symmetry_Int_Tables_number 166
_symmetry_space_group_name_Hall '-R 3 2"'
_cell_length_a 8.2490
_cell_length_b 8.2490
_cell_length_c 24.4364
_cell_angle_alpha 90.00
_cell_angle_beta 90.00
_cell_angle_gamma 120.00
loop_
_atom_site_label
_atom_site_type_symbol
_atom_site_fract_x
_atom_site_fract_y
_atom_site_fract_z
Cs1 Cs 0.0000 0.5000 0.0000
Pr1 Pr 0.0000 0.0000 0.5000
Np1 Np 0.0000 0.5000 0.5000
S1 S 0.0000 0.0000 0.2253
S2 S 0.0119 0.5059 0.7736
```